Record 1
# CaLuPd2

A geometry-optimized CaLuPd2 structure (PBE, Alexandria via LeMat-Bulk).

Computed properties:
The total DFT energy (no corrections) is -4.86 eV per atom. The value obtained for the formation energy from the elements is -635 meV per atom. The calculation puts the polymorph energy (0 for the lowest one) at 226 meV per atom.

```
data_CaLuPd2
_chemical_formula_sum 'Ca3 Lu3 Pd6'
_cell_length_a 4.0346
_cell_length_b 4.0346
_cell_length_c 20.4807
_cell_angle_alpha 90.00
_cell_angle_beta 90.00
_cell_angle_gamma 120.00
_space_group_name_H-M_alt 'R -3 m'
_space_group_IT_number 166
_space_group_name_Hall '-R 3 2"'
loop_
_atom_site_label
_atom_site_type_symbol
_atom_site_fract_x
_atom_site_fract_y
_atom_site_fract_z
_atom_site_occupancy
Ca1 Ca 0.0000 0.0000 0.0000 1
Lu1 Lu 0.0000 0.0000 0.5000 1
Pd1 Pd 0.0000 0.0000 0.2417 1
```


Record 2
# CaLuPdRh

A geometry-optimized CaLuPdRh structure (PBE, Alexandria via LeMat-Bulk).

Computed properties:
The total DFT energy (no corrections) is -5.51 eV per atom. The value obtained for the formation energy from the elements is -739 meV per atom.

```
data_CaLuPdRh
_chemical_formula_sum 'Ca4 Lu4 Pd4 Rh4'
_cell_length_a 6.8451
_cell_length_b 6.8451
_cell_length_c 6.8451
_cell_angle_alpha 90.00
_cell_angle_beta 90.00
_cell_angle_gamma 90.00
_space_group_name_H-M_alt 'F -4 3 m'
_space_group_IT_number 216
_space_group_name_Hall 'F -4 2 3'
loop_
_atom_site_label
_atom_site_type_symbol
_atom_site_fract_x
_atom_site_fract_y
_atom_site_fract_z
_atom_site_occupancy
Ca1 Ca 0.0000 0.0000 0.0000 1
Lu1 Lu 0.0000 0.0000 0.5000 1
Pd1 Pd 0.2500 0.2500 0.7500 1
Rh1 Rh 0.2500 0.2500 0.2500 1
```


Record 3
# CaLuSnPd

A geometry-optimized CaLuSnPd structure (PBE, Alexandria via LeMat-Bulk).

Computed properties:
The total DFT energy (no corrections) is -4.61 eV per atom. The value obtained for the formation energy from the elements is -679 meV per atom.

```
data_CaLuSnPd
_chemical_formula_sum 'Ca4 Lu4 Sn4 Pd4'
_cell_length_a 7.2398
_cell_length_b 7.2398
_cell_length_c 7.2398
_cell_angle_alpha 90.00
_cell_angle_beta 90.00
_cell_angle_gamma 90.00
_space_group_name_H-M_alt 'F -4 3 m'
_space_group_IT_number 216
_space_group_name_Hall 'F -4 2 3'
loop_
_atom_site_label
_atom_site_type_symbol
_atom_site_fract_x
_atom_site_fract_y
_atom_site_fract_z
_atom_site_occupancy
Ca1 Ca 0.0000 0.0000 0.0000 1
Lu1 Lu 0.0000 0.0000 0.5000 1
Sn1 Sn 0.2500 0.2500 0.7500 1
Pd1 Pd 0.2500 0.2500 0.2500 1
```